1.
Material: PmDy3Al3
Method: DFT, PBE
State: relaxed

DOS(E_F), states/eV/cell: 8.5
Total energy, eV/atom: -4.5164
Total magnetic moment, μB/f.u.: 0.0
Formation enthalpy at 0 K, meV/atom: -261

Lattice parameters (Å, degrees): 7.2901 7.2901 6.9458 89.98 89.98 91.08
Fractional coordinates of all 14 atoms:
1 Al 0.5001 0.0000 0.7413
2 Al 0.0000 0.4999 0.2587
3 Al 0.0000 0.0000 0.7341
4 Al 0.4999 0.0000 0.2587
5 Al 0.0000 0.0000 0.2659
6 Al 0.0000 0.5001 0.7413
7 Dy 0.7444 0.2556 0.5000
8 Dy 0.2484 0.7516 0.0000
9 Dy 0.7374 0.7374 0.5000
10 Dy 0.7516 0.2484 0.0000
11 Dy 0.2626 0.2626 0.5000
12 Dy 0.2556 0.7444 0.5000
13 Pm 0.7417 0.7417 0.9999
14 Pm 0.2583 0.2583 0.0001

***

2.
Material: Pm6Dy2Al
Method: DFT, PBE
State: relaxed

DOS(E_F), states/eV/cell: 13.5
Total energy, eV/atom: -4.5324
Total magnetic moment, μB/f.u.: 0.0
Formation enthalpy at 0 K, meV/atom: 73

Lattice parameters (Å, degrees): 3.5682 9.4923 9.9194 118.59 90.83 90.00
Fractional coordinates of all 9 atoms:
1 Pm 0.0061 0.6661 0.6737
2 Pm 0.9939 0.9924 0.3263
3 Pm 0.5000 0.7110 0.0000
4 Pm 0.9939 0.3339 0.3263
5 Pm 0.0061 0.0076 0.6737
6 Pm 0.5000 0.2890 0.0000
7 Al 0.0000 0.0000 0.0000
8 Dy 0.5110 0.3229 0.6458
9 Dy 0.4890 0.6771 0.3542

***

3.
Material: Pm15Dy4Al
Method: DFT, PBE
State: relaxed

DOS(E_F), states/eV/cell: 26.7
Total energy, eV/atom: -4.6832
Total magnetic moment, μB/f.u.: 0.0
Formation enthalpy at 0 K, meV/atom: -13

Lattice parameters (Å, degrees): 5.0606 5.0606 25.5322 90.00 90.00 90.00
Fractional coordinates of all 20 atoms:
1 Pm 0.0000 0.5000 0.5000
2 Pm 0.5000 0.0000 0.7030
3 Pm 0.5000 0.0000 0.2970
4 Pm 0.0000 0.5000 0.9064
5 Pm 0.5000 0.5000 0.1950
6 Pm 0.0000 0.5000 0.7030
7 Pm 0.0000 0.5000 0.0936
8 Pm 0.5000 0.0000 0.0936
9 Pm 0.0000 0.5000 0.2970
10 Pm 0.5000 0.0000 0.5000
11 Pm 0.5000 0.5000 0.6018
12 Pm 0.5000 0.5000 0.3982
13 Pm 0.5000 0.0000 0.9064
14 Pm 0.5000 0.5000 0.8050
15 Pm 0.5000 0.5000 0.0000
16 Dy 0.0000 0.0000 0.6011
17 Dy 0.0000 0.0000 0.3989
18 Dy 0.0000 0.0000 0.1960
19 Dy 0.0000 0.0000 0.8040
20 Al 0.0000 0.0000 0.0000

***

4.
Material: Pm2DyAl
Method: DFT, PBE
State: relaxed

DOS(E_F), states/eV/cell: 6.1
Total energy, eV/atom: -4.6337
Total magnetic moment, μB/f.u.: 0.0
Formation enthalpy at 0 K, meV/atom: -172

Lattice parameters (Å, degrees): 4.8494 4.8291 4.8291 90.00 90.00 90.00
Fractional coordinates of all 4 atoms:
1 Pm 0.0000 0.0000 0.5000
2 Pm 0.0000 0.5000 0.0000
3 Dy 0.5000 0.5000 0.5000
4 Al 0.5000 0.0000 0.0000

***

5.
Material: Pm12Dy5Al2
Method: DFT, PBE
State: relaxed

DOS(E_F), states/eV/cell: 22.2
Total energy, eV/atom: -4.5447
Total magnetic moment, μB/f.u.: 0.0
Formation enthalpy at 0 K, meV/atom: 61

Lattice parameters (Å, degrees): 8.0526 9.8021 8.9672 73.32 90.00 114.25
Fractional coordinates of all 19 atoms:
1 Pm 0.0496 0.0991 0.8313
2 Pm 0.9504 0.9009 0.1687
3 Pm 0.3876 0.3069 0.5298
4 Pm 0.0620 0.7241 0.8674
5 Pm 0.6621 0.7241 0.8674
6 Pm 0.9192 0.3069 0.5298
7 Pm 0.9380 0.2759 0.1326
8 Pm 0.0808 0.6931 0.4702
9 Pm 0.6124 0.6931 0.4702
10 Pm 0.4799 0.9598 0.6920
11 Pm 0.5201 0.0402 0.3080
12 Pm 0.3379 0.2759 0.1326
13 Dy 0.0000 0.0000 0.5000
14 Dy 0.3150 0.6301 0.1685
15 Dy 0.6850 0.3699 0.8315
16 Dy 0.7516 0.5032 0.2190
17 Dy 0.2484 0.4968 0.7810
18 Al 0.6614 0.0000 0.0000
19 Al 0.3386 0.0000 0.0000

***

6.
Material: PmDyAl
Method: DFT, PBE
State: relaxed

DOS(E_F), states/eV/cell: 1.8
Total energy, eV/atom: -4.5100
Total magnetic moment, μB/f.u.: 0.0
Formation enthalpy at 0 K, meV/atom: -145

Lattice parameters (Å, degrees): 3.6293 5.1091 5.1091 120.00 90.00 90.00
Fractional coordinates of all 3 atoms:
1 Dy 0.3991 0.6667 0.3333
2 Al 0.6396 0.3333 0.6667
3 Pm 0.9613 0.0000 0.0000

***

- The highest total energy belongs to which entry?
  PmDyAl

***

- Look up the total energy of the second one.
  -4.5324 eV/atom

***

- Among the records above, which one has the highest DOS(E_F)?
  Pm15Dy4Al

***

- Among the records above, which one has the lowest DOS(E_F)?
  PmDyAl